1.
FePt6Rh after structural relaxation. Source: Alexandria via LeMat-Bulk, functional PBE-GGA.

## Properties
Theoretical density: 14.2 Mg/m³
Density of states at the Fermi level: 7.34 states/eV/f.u.
Total DFT energy (no corrections): -6.07 eV per atom
Relative energy among the computed polymorphs: 0.5410 eV per atom
Space-group type: R-3m (166)

Cell lengths 7.1709, 7.1709, 7.1709 Å; angles 43.06, 43.06, 43.06 degrees
With the nearest neighbours (Å) after each atom.
Positions (direct):
Fe 0.0000 0.0000 0.0000  6 Pt 2.46
Pt 0.0709 0.0709 0.5637  1 Fe 2.46, 5 Pt 2.59-2.67
Pt 0.0709 0.5637 0.0709  1 Fe 2.46, 5 Pt 2.59-2.67
Pt 0.4363 0.9291 0.9291  1 Fe 2.46, 5 Pt 2.59-2.67
Pt 0.5637 0.0709 0.0709  1 Fe 2.46, 5 Pt 2.59-2.67
Pt 0.9291 0.4363 0.9291  1 Fe 2.46, 5 Pt 2.59-2.67
Pt 0.9291 0.9291 0.4363  1 Fe 2.46, 5 Pt 2.59-2.67
Rh 0.5000 0.5000 0.5000  12 Pt 2.95

2.
Fe2Pt4Rh after structural relaxation. Source: Alexandria via LeMat-Bulk, functional PBE-GGA.

## Properties
Theoretical density: 14.2 Mg/m³
Density of states at the Fermi level: 8.62 states/eV/f.u.
Total DFT energy (no corrections): -6.72 eV per atom
Relative energy among the computed polymorphs: 0.0000 eV per atom
Space-group type: I4/mcm (140)

Cell lengths 6.7368, 6.7368, 6.7368 Å; angles 113.58, 113.58, 101.54 degrees
With the nearest neighbours (Å) after each atom.
Positions (direct):
Fe 0.1482 0.6482 0.7965  6 Pt 2.50-2.58
Fe 0.3518 0.1482 0.5000  6 Pt 2.50-2.58
Fe 0.6482 0.8518 0.5000  6 Pt 2.50-2.58
Fe 0.8518 0.3518 0.2035  6 Pt 2.50-2.58
Pt 0.0086 0.8079 0.5000  3 Fe 2.50-2.58, 4 Pt 2.61-2.71
Pt 0.1921 0.6921 0.2008  3 Fe 2.50-2.58, 4 Pt 2.61-2.71
Pt 0.3079 0.5086 0.5000  3 Fe 2.50-2.58, 4 Pt 2.61-2.71
Pt 0.4914 0.9914 0.7992  3 Fe 2.50-2.58, 4 Pt 2.61-2.71
Pt 0.5086 0.0086 0.2008  3 Fe 2.50-2.58, 4 Pt 2.61-2.71
Pt 0.6921 0.4914 0.5000  3 Fe 2.50-2.58, 4 Pt 2.61-2.71
Pt 0.8079 0.3079 0.7992  3 Fe 2.50-2.58, 4 Pt 2.61-2.71
Pt 0.9914 0.1921 0.5000  3 Fe 2.50-2.58, 4 Pt 2.61-2.71
Rh 0.2500 0.2500 0.0000  8 Pt 2.92
Rh 0.7500 0.7500 0.0000  8 Pt 2.92

3.
FePt5Rh after structural relaxation. Source: Alexandria via LeMat-Bulk, functional PBE-GGA.

## Properties
Theoretical density: 13.0 Mg/m³
Density of states at the Fermi level: 9.99 states/eV/f.u.
Total DFT energy (no corrections): -5.78 eV per atom
Relative energy among the computed polymorphs: 0.7491 eV per atom
Space-group type: Imm2 (44)

Cell lengths 6.0354, 6.0354, 6.0354 Å; angles 98.75, 98.64, 134.24 degrees
With the nearest neighbours (Å) after each atom.
Positions (direct):
Fe 0.0000 0.0000 0.0000  6 Pt 2.34-2.35
Pt 0.1247 0.8430 0.2816  1 Fe 2.34, 1 Rh 2.57, 2 Pt 2.58
Pt 0.1574 0.4393 0.2819  1 Fe 2.34, 1 Rh 2.57, 2 Pt 2.58
Pt 0.1574 0.8754 0.7181  1 Fe 2.34, 1 Rh 2.57, 2 Pt 2.58
Pt 0.5001 0.5001 0.0000  2 Fe 2.35
Pt 0.5614 0.8430 0.7184  1 Fe 2.34, 1 Rh 2.57, 2 Pt 2.58
Rh 0.7497 0.2497 0.5000  4 Pt 2.57

4.
FePt8Rh6 after structural relaxation. Source: Alexandria via LeMat-Bulk, functional PBE-GGA.

## Properties
Theoretical density: 15.3 Mg/m³
Density of states at the Fermi level: 25.30 states/eV/f.u.
Total DFT energy (no corrections): -6.52 eV per atom
Space-group type: R-3 (148)

Cell lengths 6.7861, 6.7861, 6.7861 Å; angles 64.42, 64.42, 64.42 degrees
With the nearest neighbours (Å) after each atom.
Positions (direct):
Fe 0.0000 0.0000 0.0000  6 Rh 2.60
Pt 0.1447 0.8272 0.4194  3 Rh 2.54-2.74, 4 Pt 2.63-2.76
Pt 0.1728 0.5806 0.8553  3 Rh 2.54-2.74, 4 Pt 2.63-2.76
Pt 0.2542 0.2542 0.2542  6 Rh 2.73-2.78, 6 Pt 2.76-2.92
Pt 0.4194 0.1447 0.8272  3 Rh 2.54-2.74, 4 Pt 2.63-2.76
Pt 0.5806 0.8553 0.1728  3 Rh 2.54-2.74, 4 Pt 2.63-2.76
Pt 0.7458 0.7458 0.7458  6 Rh 2.73-2.78, 6 Pt 2.76-2.92
Pt 0.8272 0.4194 0.1447  3 Rh 2.54-2.74, 4 Pt 2.63-2.76
Pt 0.8553 0.1728 0.5806  3 Rh 2.54-2.74, 4 Pt 2.63-2.76
Rh 0.0852 0.3589 0.6615  5 Pt 2.54-2.78, 3 Rh 2.54-2.78, 1 Fe 2.60
Rh 0.3385 0.9148 0.6411  5 Pt 2.54-2.78, 3 Rh 2.54-2.78, 1 Fe 2.60
Rh 0.3589 0.6615 0.0852  5 Pt 2.54-2.78, 3 Rh 2.54-2.78, 1 Fe 2.60
Rh 0.6411 0.3385 0.9148  5 Pt 2.54-2.78, 3 Rh 2.54-2.78, 1 Fe 2.60
Rh 0.6615 0.0852 0.3589  5 Pt 2.54-2.78, 3 Rh 2.54-2.78, 1 Fe 2.60
Rh 0.9148 0.6411 0.3385  5 Pt 2.54-2.78, 3 Rh 2.54-2.78, 1 Fe 2.60